Entry from Alexandria via LeMat-Bulk: ScCo4Cl after structural relaxation (PBE).

Its formation energy without anion corrections is 97.0 kJ/mol of formula units. Its total magnetic moment is 23.66 μB per cell. The density of states at the Fermi level comes out at 1.3155 states/eV/atom. As for the calculated total energy: -5.933 eV/atom.

It has space group F-43m (No. 216), with a = 6.9431 Å, b = 6.9431 Å, c = 6.9431 Å, α = 90.00°, β = 90.00° and γ = 90.00°. The inequivalent atoms are Sc at (0.0000, 0.0000, 0.0000), Co at (0.1257, 0.1257, 0.6257) and Cl at (0.2500, 0.2500, 0.2500).